First-principles (GGA-PBE) data for a relaxed Mg5Ga5Ag2 crystal, as listed in Alexandria via LeMat-Bulk.

Cell and atoms, written as CIF:
```
data_Mg5Ga5Ag2
_chemical_formula_sum 'Mg5 Ga5 Ag2'
_cell_length_a 4.412
_cell_length_b 7.642
_cell_length_c 7.708
_cell_angle_alpha 75.17
_cell_angle_beta 73.37
_cell_angle_gamma 73.22
_symmetry_space_group_name_H-M 'P 1'
_symmetry_Int_Tables_number 1
loop_
_symmetry_equiv_pos_as_xyz
'x,y,z'
loop_
_atom_site_label
_atom_site_type_symbol
_atom_site_fract_x
_atom_site_fract_y
_atom_site_fract_z
_atom_site_occupancy
Mg1 Mg 0.317 0.035 0.331 1
Ag1 Ag 0.150 0.448 0.253 1
Ga1 Ga 0.069 0.220 0.643 1
Mg2 Mg 0.683 0.965 0.669 1
Ga2 Ga 0.000 0.000 0.000 1
Mg3 Mg 0.595 0.714 0.096 1
Mg4 Mg 0.405 0.286 0.904 1
Ga3 Ga 0.227 0.709 0.837 1
Mg5 Mg 0.500 0.500 0.500 1
Ag2 Ag 0.850 0.552 0.747 1
Ga4 Ga 0.931 0.780 0.357 1
Ga5 Ga 0.773 0.291 0.163 1
```

Calculated total energy, eV per atom: -2.52
Symmetry: C2/m, No. 12
Relative energy among the computed polymorphs, eV per atom: 0.000